[1]
# PuScAgO6 PBE relaxed
data_PuScAgO6
_space_group_name_H-M_alt 'P 1'
_space_group_IT_number 1
_cell_length_a 5.539
_cell_length_b 5.539
_cell_length_c 9.480
_cell_angle_alpha 90.00
_cell_angle_beta 90.00
_cell_angle_gamma 120.00
loop_
_space_group_symop_operation_xyz
'x,y,z'
loop_
_atom_site_label
_atom_site_fract_x
_atom_site_fract_y
_atom_site_fract_z
Pu1 0.333 0.667 0.750
O1 0.374 0.017 0.138
O2 0.017 0.374 0.638
Pu2 0.667 0.333 0.250
O3 0.374 0.357 0.362
O4 0.626 0.983 0.862
O5 0.017 0.643 0.862
O6 0.357 0.983 0.638
O7 0.626 0.643 0.638
O8 0.643 0.017 0.362
Sc1 0.667 0.333 0.750
O9 0.983 0.357 0.138
Ag1 0.000 0.000 0.500
Ag2 0.000 0.000 0.000
O10 0.983 0.626 0.362
Sc2 0.333 0.667 0.250
O11 0.357 0.374 0.862
O12 0.643 0.626 0.138
# Total magnetization = 0.30 Bohr magnetons per cell
# Space group = P-31c (163)
# ΔE_f (raw) = -2042 meV per atom
# Raw total energy = -143.3 eV for the cell shown

[2]
# PuScAg2O6 PBE relaxed
data_PuScAg2O6
_space_group_name_H-M_alt 'P 1'
_space_group_IT_number 1
_cell_length_a 5.653
_cell_length_b 5.654
_cell_length_c 5.799
_cell_angle_alpha 90.01
_cell_angle_beta 119.17
_cell_angle_gamma 120.00
loop_
_space_group_symop_operation_xyz
'x,y,z'
loop_
_atom_site_label
_atom_site_fract_x
_atom_site_fract_y
_atom_site_fract_z
Pu1 0.997 0.998 0.980
O1 0.909 0.668 0.734
O2 0.485 0.156 0.226
O3 0.913 0.755 0.226
O4 0.084 0.327 0.227
Sc1 0.997 0.498 0.480
O5 0.080 0.240 0.734
Ag1 0.490 0.245 0.720
O6 0.508 0.839 0.734
Ag2 0.504 0.751 0.241
# Total magnetization = 0.91 Bohr magnetons per cell
# Space group = R-3 (148)
# ΔE_f (raw) = -1900 meV per atom
# Raw total energy = -75.1 eV for the cell shown

[3]
# PuAgSe2O8 PBE relaxed
data_PuAgSe2O8
_space_group_name_H-M_alt 'P 1'
_space_group_IT_number 1
_cell_length_a 6.279
_cell_length_b 6.279
_cell_length_c 6.319
_cell_angle_alpha 90.00
_cell_angle_beta 90.00
_cell_angle_gamma 120.00
loop_
_space_group_symop_operation_xyz
'x,y,z'
loop_
_atom_site_label
_atom_site_fract_x
_atom_site_fract_y
_atom_site_fract_z
Se1 0.333 0.667 0.736
O1 0.667 0.333 0.007
O2 0.299 0.167 0.307
Ag1 0.000 0.000 0.000
O3 0.701 0.833 0.693
O4 0.167 0.868 0.693
Se2 0.667 0.333 0.264
O5 0.132 0.299 0.693
Pu1 0.000 0.000 0.500
O6 0.868 0.701 0.307
O7 0.333 0.667 0.993
O8 0.833 0.132 0.307
# Total magnetization = 0.98 Bohr magnetons per cell
# Space group = P-3 (147)
# ΔE_f (raw) = -1034 meV per atom
# Raw total energy = -76.2 eV for the cell shown